1.
Below is crystalline HfTiV4 at its relaxed geometry, with properties calculated at the PBE level.

The structure in POSCAR format:
```
HfTiV4
1.0
-3.8951 2.7685 1.7838
-4.4256 0.1051 -2.5340
-4.1049 -2.3256 1.9389
V Hf Ti
4 1 1
Direct
0.6248 0.6248 0.1256
0.6248 0.1256 0.6248
0.6248 0.6248 0.6248
0.1256 0.6248 0.6248
0.2500 0.2500 0.2500
0.0000 0.0000 0.0000
```

final energy = -8.9937 eV/atom
DOS at the Fermi energy = 15.976 states/eV/f.u.
magnetic moment = 0.000 μB/atom
DFT formation energy = 0.36 eV/f.u.
mass density = 7611 kg/m³

---

2.
Below is crystalline HfTiW2 at its relaxed geometry, with properties calculated at the PBE level.

The structure in POSCAR format:
```
HfTiW2
1.0
7.3387 0.0000 0.0000
0.0000 7.3387 0.0000
3.6693 3.6693 2.7442
W Hf Ti
4 2 2
Direct
0.6078 0.1250 0.2500
0.1422 0.6250 0.2500
0.8750 0.8578 0.7500
0.3750 0.3922 0.7500
0.7500 0.2500 0.5000
0.0000 0.0000 0.0000
0.2500 0.7500 0.5000
0.5000 0.5000 0.0000
```

final energy = -10.1715 eV/atom
energy relative to the lowest polymorph listed for this composition = 0.616 eV/atom
DOS at the Fermi energy = 4.222 states/eV/f.u.
magnetic moment = 0.000 μB/atom
DFT formation energy = 3.07 eV/f.u.
mass density = 13349 kg/m³

---

3.
Below is crystalline HfTi3W at its relaxed geometry, with properties calculated at the PBE level.

The structure in POSCAR format:
```
HfTi3W
1.0
4.7478 0.0000 0.0000
0.0000 4.7478 0.0000
0.0000 0.0000 4.7478
Ti W Hf
3 1 1
Direct
0.0000 0.0000 0.5000
0.0000 0.5000 0.0000
0.5000 0.0000 0.0000
0.0000 0.0000 0.0000
0.5000 0.5000 0.5000
```

final energy = -8.5018 eV/atom
energy relative to the lowest polymorph listed for this composition = 0.629 eV/atom
DOS at the Fermi energy = 7.669 states/eV/f.u.
magnetic moment = 0.000 μB/atom
DFT formation energy = 4.08 eV/f.u.
mass density = 7850 kg/m³

---

4.
Below is crystalline HfTiW2 at its relaxed geometry, with properties calculated at the PBE level.

The structure in POSCAR format:
```
HfTiW2
1.0
0.0000 3.2546 3.2546
3.2546 0.0000 3.2546
3.2546 3.2546 0.0000
Ti W Hf
1 2 1
Direct
0.0000 0.0000 0.0000
0.7500 0.7500 0.7500
0.2500 0.2500 0.2500
0.5000 0.5000 0.5000
```

final energy = -10.7871 eV/atom
energy relative to the lowest polymorph listed for this composition = 0.000 eV/atom
DOS at the Fermi energy = 7.038 states/eV/f.u.
magnetic moment = 0.000 μB/atom
DFT formation energy = 0.61 eV/f.u.
mass density = 14307 kg/m³